# 1
Computed, not measured: an optimized crystal structure of ErMn10Si2 at the PBE level of DFT.

## Properties
The calculation puts the energy relative to the elements, uncorrected at -213 meV per atom. For the calculated density, the calculation gives 8.1 g cm⁻³.

Structure (CIF):
```
data_ErMn10Si2
_chemical_formula_sum 'Er4 Mn40 Si8'
_cell_length_a 8.201
_cell_length_b 9.578
_cell_length_c 8.086
_cell_angle_alpha 90.00
_cell_angle_beta 90.00
_cell_angle_gamma 90.00
_symmetry_space_group_name_H-M 'C m c m'
_symmetry_Int_Tables_number 63
_symmetry_space_group_name_Hall '-C 2c 2'
loop_
_atom_site_label
_atom_site_fract_x
_atom_site_fract_y
_atom_site_fract_z
Er1 0.000 0.130 0.250
Mn1 0.000 0.175 0.609
Mn2 0.000 0.396 0.065
Mn3 0.134 0.391 0.750
Mn4 0.212 0.000 0.000
Mn5 0.248 0.121 0.750
Si1 0.250 0.250 0.000
```

# 2
Computed, not measured: an optimized crystal structure of NbMoRh6 at the PBE level of DFT.

## Properties
The calculation puts the formation energy from the elements at 0.471 eV/atom. The value obtained for the polymorph energy (0 for the lowest one) is 834.5 meV/atom. For the calculated density, the calculation gives 9.7 g cm⁻³.

Structure (CIF):
```
data_NbMoRh6
_chemical_formula_sum 'Nb3 Mo3 Rh18'
_cell_length_a 7.0687
_cell_length_b 7.0687
_cell_length_c 9.5628
_cell_angle_alpha 90.00
_cell_angle_beta 90.00
_cell_angle_gamma 120.00
_symmetry_space_group_name_H-M 'R -3 m'
_symmetry_Int_Tables_number 166
_symmetry_space_group_name_Hall '-R 3 2"'
loop_
_atom_site_label
_atom_site_fract_x
_atom_site_fract_y
_atom_site_fract_z
Nb1 0.0000 0.0000 0.0000
Mo1 0.0000 0.0000 0.5000
Rh1 0.0790 0.5395 0.8769
```

# 3
Computed, not measured: an optimized crystal structure of PrSm2DyAs4 at the PBE level of DFT.

## Properties
The calculation puts the formation energy from the elements at -1.515 eV/atom. For the calculated density, the calculation gives 7.1 g cm⁻³.

Structure (CIF):
```
data_PrSm2DyAs4
_chemical_formula_sum 'Pr1 Sm2 Dy1 As4'
_cell_length_a 7.299
_cell_length_b 4.218
_cell_length_c 7.300
_cell_angle_alpha 90.00
_cell_angle_beta 109.46
_cell_angle_gamma 90.00
_symmetry_space_group_name_H-M 'P 1 2/m 1'
_symmetry_Int_Tables_number 10
_symmetry_space_group_name_Hall '-P 2y'
loop_
_atom_site_label
_atom_site_fract_x
_atom_site_fract_y
_atom_site_fract_z
Pr1 0.000 0.000 0.000
Sm1 0.000 0.500 0.500
Sm2 0.500 0.000 0.500
Dy1 0.500 0.500 0.000
As1 0.256 0.000 0.752
As2 0.256 0.500 0.252
```